DFT (GGA-PBE) results for an optimized crystal structure of LaNb2CuAg.

Lattice parameters (Å, degrees): 5.0834 5.0834 4.7677 90.00 90.00 90.00
Space group P4/mmm (No. 123)
Inequivalent atoms, fractional coordinates:
La1 0.0000 0.0000 0.0000
Nb1 0.0000 0.5000 0.5000
Cu1 0.5000 0.5000 0.0000
Ag1 0.5000 0.5000 0.5000

## Properties
The total magnetization comes out at 0.415 μB/atom. The formation energy is 111.05 kJ per mole of atoms.

---

DFT (GGA-PBE) results for an optimized crystal structure of TiNbVPd.

Lattice parameters (Å, degrees): 6.3290 6.3290 6.3290 90.00 90.00 90.00
Space group F-43m (No. 216)
Inequivalent atoms, fractional coordinates:
Ti1 0.0000 0.0000 0.0000
Nb1 0.0000 0.0000 0.5000
V1 0.2500 0.2500 0.2500
Pd1 0.2500 0.2500 0.7500

## Properties
The calculation puts the energy above the most stable polymorph in this dataset at 0 meV/atom. The total magnetization comes out at 0.058 μB/atom. The formation energy is -10.78 kJ per mole of atoms.

---

DFT (GGA-PBE) results for an optimized crystal structure of LaTlI2O.

Lattice parameters (Å, degrees): 6.6321 6.6321 4.3596 90.00 90.00 90.00
Space group P4/mmm (No. 123)
Inequivalent atoms, fractional coordinates:
La1 0.0000 0.0000 0.0000
Tl1 0.5000 0.5000 0.5000
I1 0.0000 0.5000 0.0000
O1 0.0000 0.0000 0.5000

## Properties
The calculation puts the energy above the most stable polymorph in this dataset at 0 meV/atom. The total magnetization comes out at 0.000 μB/atom. For the formation energy from raw total energies, the calculation gives -1620.3 meV/atom.

---

Copy entry 1 word for word.
DFT (GGA-PBE) results for an optimized crystal structure of LaNb2CuAg.

Lattice parameters (Å, degrees): 5.0834 5.0834 4.7677 90.00 90.00 90.00
Space group P4/mmm (No. 123)
Inequivalent atoms, fractional coordinates:
La1 0.0000 0.0000 0.0000
Nb1 0.0000 0.5000 0.5000
Cu1 0.5000 0.5000 0.0000
Ag1 0.5000 0.5000 0.5000

## Properties
The total magnetization comes out at 0.415 μB/atom. The formation energy is 111.05 kJ per mole of atoms.

---

Which of these has the highest total magnetization? LaNb2CuAg

---

Which value of total magnetization does entry 3 give? 0.000 μB/atom

---

Which formula does entry 3 have? LaTlI2O